Entry A
## RbFe2I (PBE)

Data for an optimized crystal structure of RbFe2I.

SG = Fm-3m
density = 5440 kg/m3

The structure in POSCAR format:
```
RbFe2I
1.0
0.000 3.671 3.671
3.671 0.000 3.671
3.671 3.671 0.000
Rb Fe I
1 2 1
Cartesian
0.000 0.000 0.000
1.835 1.835 1.835
5.506 5.506 5.506
3.671 3.671 3.671
```

---

Entry B
## RbFe2I (PBE)

Data for an optimized crystal structure of RbFe2I.

SG = I4_1/amd
density = 4391 kg/m3

The structure in POSCAR format:
```
RbFe2I
1.0
-2.454 2.454 10.177
2.454 -2.454 10.177
2.454 2.454 -10.177
Rb Fe I
2 4 2
Cartesian
2.454 1.227 2.544
0.000 1.227 7.632
0.000 0.000 0.000
1.227 1.227 -5.088
1.227 -1.227 5.088
0.000 2.454 0.000
2.454 -1.227 7.632
0.000 3.681 2.544
```

---

entry B has the most favorable energy; the next structure is 606 meV per atom above.

---

Entry A
## Fe3ReI (PBE)

Data for an optimized crystal structure of Fe3ReI.

SG = Pm-3m
density = 7734 kg/m3

The structure in POSCAR format:
```
Fe3ReI
1.0
4.691 0.000 0.000
0.000 4.691 0.000
0.000 0.000 4.691
Fe Re I
3 1 1
Cartesian
0.000 0.000 2.345
0.000 2.345 0.000
2.345 0.000 0.000
0.000 0.000 0.000
2.345 2.345 2.345
```

---

Entry B
## Fe3ReI (PBE)

Data for an optimized crystal structure of Fe3ReI.

SG = Pm-3m
density = 9137 kg/m3

The structure in POSCAR format:
```
Fe3ReI
1.0
4.437 0.000 0.000
0.000 4.437 0.000
0.000 0.000 4.437
Fe Re I
3 1 1
Cartesian
0.000 0.000 2.218
0.000 2.218 0.000
2.218 0.000 0.000
2.218 2.218 2.218
0.000 0.000 0.000
```

---

entry A has the most favorable energy; the next structure is 962 meV per atom above.

---

Entry A
## FeReTeI2 (PBE)

Data for an optimized crystal structure of FeReTeI2.

SG = P4/mmm
density = 6479 kg/m3

The structure in POSCAR format:
```
FeReTeI2
1.0
5.614 0.000 0.000
0.000 5.614 0.000
0.000 0.000 5.070
Fe Re Te I
1 1 1 2
Cartesian
0.000 0.000 0.000
2.807 2.807 2.535
2.807 2.807 0.000
0.000 2.807 2.535
2.807 0.000 2.535
```

---

Entry B
## FeReTeI2 (PBE)

Data for an optimized crystal structure of FeReTeI2.

SG = P4/mmm
density = 8394 kg/m3

The structure in POSCAR format:
```
FeReTeI2
1.0
5.003 0.000 0.000
0.000 5.003 0.000
0.000 0.000 4.928
Fe Re Te I
1 1 1 2
Cartesian
0.000 0.000 0.000
2.501 2.501 2.464
0.000 0.000 2.464
0.000 2.501 0.000
2.501 0.000 0.000
```

---

entry A has the most favorable energy; the next structure is 409 meV per atom above.

---

Entry A
## FeReTe2I (PBE)

Data for an optimized crystal structure of FeReTe2I.

SG = P4/mmm
density = 8876 kg/m3

The structure in POSCAR format:
```
FeReTe2I
1.0
4.841 0.000 0.000
0.000 4.841 0.000
0.000 0.000 4.982
Fe Re Te I
1 1 2 1
Cartesian
0.000 0.000 0.000
2.421 2.421 2.491
0.000 2.421 0.000
2.421 0.000 0.000
0.000 0.000 2.491
```

---

Entry B
## FeReTe2I (PBE)

Data for an optimized crystal structure of FeReTe2I.

SG = P4/mmm
density = 6789 kg/m3

The structure in POSCAR format:
```
FeReTe2I
1.0
5.153 0.000 0.000
0.000 5.153 0.000
0.000 0.000 5.750
Fe Re Te I
1 1 2 1
Cartesian
0.000 0.000 0.000
2.576 2.576 2.875
0.000 2.576 2.875
2.576 0.000 2.875
2.576 2.576 0.000
```

---

entry B has the most favorable energy; the next structure is 323 meV per atom above.

---

Entry A
## FeRh2I (PBE)

Data for an optimized crystal structure of FeRh2I.

SG = Fm-3m
density = 10294 kg/m3

The structure in POSCAR format:
```
FeRh2I
1.0
0.000 3.153 3.153
3.153 0.000 3.153
3.153 3.153 0.000
Fe Rh I
1 2 1
Cartesian
0.000 0.000 0.000
1.576 1.576 1.576
4.729 4.729 4.729
3.153 3.153 3.153
```

---

Entry B
## FeRh2I (PBE)

Data for an optimized crystal structure of FeRh2I.

SG = I-42d
density = 9111 kg/m3

The structure in POSCAR format:
```
FeRh2I
1.0
-2.005 2.005 8.812
2.005 -2.005 8.812
2.005 2.005 -8.812
Fe Rh I
2 4 2
Cartesian
0.000 0.000 0.000
0.000 2.005 4.406
3.007 0.921 -2.203
0.921 1.002 2.203
-1.002 1.083 6.609
1.083 1.002 11.015
2.005 0.000 4.406
0.000 0.000 8.812
```

---

entry B has the most favorable energy; the next structure is 214 meV per atom above.

---

Entry A
## FeRuI2 (PBE)

Data for an optimized crystal structure of FeRuI2.

SG = I-42d
density = 6904 kg/m3

The structure in POSCAR format:
```
FeRuI2
1.0
-2.929 2.929 5.757
2.929 -2.929 5.757
2.929 2.929 -5.757
Fe Ru I
2 2 4
Cartesian
0.000 0.000 0.000
0.000 2.929 2.878
2.929 0.000 2.878
0.000 0.000 5.757
4.394 1.358 -1.439
1.358 1.465 1.439
-1.465 1.572 4.317
1.572 1.465 7.196
```

---

Entry B
## FeRuI2 (PBE)

Data for an optimized crystal structure of FeRuI2.

SG = Fm-3m
density = 8596 kg/m3

The structure in POSCAR format:
```
FeRuI2
1.0
0.000 3.410 3.410
3.410 0.000 3.410
3.410 3.410 0.000
Fe Ru I
1 1 2
Cartesian
0.000 0.000 0.000
3.410 3.410 3.410
1.705 1.705 1.705
5.116 5.116 5.116
```

---

entry A has the most favorable energy; the next structure is 131 meV per atom above.